The following is a PBE calculation of an optimized crystal structure of LiAcScOs, from Alexandria via LeMat-Bulk.

Space-group type: F-43m
Energy of formation from the pure elements in meV/atom: -31.3
VASP energy in eV/atom: -5.927
Crystal system: cubic

Structure (POSCAR):
```
LiAcScOs
1.0
4.975 0.000 0.000
2.488 4.309 0.000
2.488 1.436 4.062
Ac Sc Os Li
1 1 1 1
Cartesian
7.463 4.309 3.047 Ac
2.488 1.436 1.016 Sc
4.975 2.872 2.031 Os
0.000 0.000 0.000 Li
```